Here is a geometry-optimized ScCrSiRu2 structure from Alexandria via LeMat-Bulk. Energies are from PBE-GGA.

Cell: 4.3946 4.3946 4.6619 Å, 90.00 90.00 90.00°
Space group P4/mmm (No. 123)
Unique sites:
1 Sc 0.0000 0.0000 0.0000
2 Cr 0.0000 0.0000 0.5000
3 Si 0.5000 0.5000 0.0000
4 Ru 0.0000 0.5000 0.5000

Summary:
* spin magnetization: 0.00 μB per cell
* raw formation energy: 4.1 eV/f.u.
* theoretical density: 6034 kg/m³
* DOS at the Fermi energy: 5.10 states/eV/f.u.